1.
First-principles (PBE-GGA) data for crystalline Ho3PtBr3 at its relaxed geometry, as listed in Alexandria via LeMat-Bulk.

Output
DOS(E_F): 5.4 states/eV per cell
SG: R-3
calculated total energy: -4.98 eV per atom
uncorrected formation energy: -968 kJ/mol of formula units

abc: 6.813 6.813 11.713
angles: 73.09 73.09 60.00
Fractional positions:
Ho1 0.951 0.290 0.148
Ho2 0.611 0.951 0.148
Ho3 0.290 0.611 0.148
Ho4 0.710 0.389 0.852
Ho5 0.389 0.049 0.852
Ho6 0.049 0.710 0.852
Pt1 0.667 0.667 0.000
Pt2 0.333 0.333 0.000
Br1 0.222 0.893 0.320
Br2 0.565 0.222 0.320
Br3 0.893 0.565 0.320
Br4 0.107 0.435 0.680
Br5 0.435 0.778 0.680
Br6 0.778 0.107 0.680

2.
First-principles (PBE-GGA) data for crystalline Ho2PtBr at its relaxed geometry, as listed in Alexandria via LeMat-Bulk.

Output
DOS(E_F): 1.4 states/eV per cell
ΔE to the lowest computed polymorph: 5 meV per atom
SG: R-3m
calculated total energy: -5.45 eV per atom
uncorrected formation energy: -474 kJ/mol of formula units

abc: 4.225 4.225 8.720
angles: 75.98 75.98 60.00
Fractional positions:
Br1 0.000 0.000 0.000
Ho1 0.112 0.112 0.665
Ho2 0.888 0.888 0.335
Pt1 0.500 0.500 0.500

3.
First-principles (PBE-GGA) data for crystalline Ho2PtBr at its relaxed geometry, as listed in Alexandria via LeMat-Bulk.

Output
DOS(E_F): 2.6 states/eV per cell
ΔE to the lowest computed polymorph: 0 meV per atom
SG: R3m
calculated total energy: -5.45 eV per atom
uncorrected formation energy: -476 kJ/mol of formula units

abc: 4.082 4.082 8.043
angles: 75.30 75.30 60.00
Fractional positions:
Ho1 0.065 0.065 0.806
Ho2 0.272 0.272 0.185
Pt1 0.668 0.668 0.997
Br1 0.496 0.496 0.511

4.
First-principles (PBE-GGA) data for crystalline HoPuBr6 at its relaxed geometry, as listed in Alexandria via LeMat-Bulk.

Output
DOS(E_F): 10.2 states/eV per cell
ΔE to the lowest computed polymorph: 20 meV per atom
SG: R-3
calculated total energy: -5.26 eV per atom
uncorrected formation energy: -1265 kJ/mol of formula units

abc: 7.086 7.087 7.751
angles: 62.78 62.79 59.99
Fractional positions:
Ho1 0.500 0.500 0.500
Pu1 0.000 0.000 0.000
Br1 0.099 0.410 0.743
Br2 0.748 0.099 0.744
Br3 0.590 0.252 0.257
Br4 0.252 0.901 0.256
Br5 0.901 0.590 0.257
Br6 0.410 0.748 0.743